Record 1
A relaxed Nb6VRu5 crystal. Source: Alexandria, functional GGA-PBE.

a = 4.4756 Å, b = 6.3437 Å, c = 7.1252 Å
α = 90.00°, β = 108.17°, γ = 90.00°
Space group P2/m (No. 10)
One atom of each set of equivalent atoms:
Nb (0.0000, 0.2454, 0.0000) [2 per cell]
Nb (0.3380, 0.2470, 0.6766) [4 per cell]
V (0.5000, 0.0000, 0.0000) [1 per cell]
Ru (0.1705, 0.0000, 0.3407) [2 per cell]
Ru (0.1710, 0.5000, 0.3418) [2 per cell]
Ru (0.5000, 0.5000, 0.0000) [1 per cell]

As for the energy of formation: -0.222 eV per atom.

Record 2
A relaxed RbZrAu2Se crystal. Source: Alexandria, functional GGA-PBE.

a = 5.3310 Å, b = 5.3310 Å, c = 5.0149 Å
α = 90.00°, β = 90.00°, γ = 90.00°
Space group P4/mmm (No. 123)
One atom of each set of equivalent atoms:
Rb (0.0000, 0.0000, 0.0000) [1 per cell]
Zr (0.5000, 0.5000, 0.0000) [1 per cell]
Au (0.0000, 0.5000, 0.5000) [2 per cell]
Se (0.5000, 0.5000, 0.5000) [1 per cell]

The raw formation energy comes out at 0.201 eV per atom.

Record 3
A relaxed Nd3Sm6Tm2In crystal. Source: Alexandria, functional GGA-PBE.

a = 6.2239 Å, b = 10.8101 Å, c = 11.7617 Å
α = 90.00°, β = 100.35°, γ = 90.00°
Space group C2/m (No. 12)
One atom of each set of equivalent atoms:
Nd (0.0000, 0.0000, 0.0000) [2 per cell]
Nd (0.0000, 0.3314, 0.0000) [4 per cell]
Sm (0.2428, 0.3365, 0.7413) [8 per cell]
Sm (0.2470, 0.5000, 0.2565) [4 per cell]
Tm (0.0000, 0.1660, 0.5000) [4 per cell]
In (0.0000, 0.5000, 0.5000) [2 per cell]

As for the energy of formation: -0.029 eV per atom.

Record 4
A relaxed Sc2InCu crystal. Source: Alexandria, functional GGA-PBE.

a = 3.4201 Å, b = 3.4201 Å, c = 25.8406 Å
α = 90.00°, β = 90.00°, γ = 120.00°
Space group R-3m (No. 166, hexagonal axes)
One atom of each set of equivalent atoms:
Sc (0.0000, 0.0000, 0.2374) [6 per cell]
In (0.0000, 0.0000, 0.0000) [3 per cell]
Cu (0.0000, 0.0000, 0.5000) [3 per cell]

As for the energy of formation: -0.146 eV per atom.

Record 5
A relaxed Re2MoAu crystal. Source: Alexandria, functional GGA-PBE.

a = 2.6930 Å, b = 4.7156 Å, c = 5.0474 Å
α = 90.00°, β = 92.61°, γ = 90.00°
Space group P2/m (No. 10)
One atom of each set of equivalent atoms:
Re (0.1830, 0.0000, 0.2379) [2 per cell]
Mo (0.5000, 0.5000, 0.0000) [1 per cell]
Au (0.0000, 0.5000, 0.5000) [1 per cell]

As for the energy of formation: 0.423 eV per atom.

Record 6
A relaxed HfTe2PbCl crystal. Source: Alexandria, functional GGA-PBE.

a = 6.1775 Å, b = 6.1775 Å, c = 4.5861 Å
α = 90.00°, β = 90.00°, γ = 90.00°
Space group P4/mmm (No. 123)
One atom of each set of equivalent atoms:
Hf (0.0000, 0.0000, 0.0000) [1 per cell]
Te (0.0000, 0.5000, 0.5000) [2 per cell]
Pb (0.5000, 0.5000, 0.0000) [1 per cell]
Cl (0.0000, 0.0000, 0.5000) [1 per cell]

The raw formation energy comes out at 0.461 eV per atom.

Record 7
A relaxed La2Nd2Ho3 crystal. Source: Alexandria, functional GGA-PBE.

a = 11.5251 Å, b = 5.1180 Å, c = 8.1334 Å
α = 90.00°, β = 97.67°, γ = 90.00°
Space group C2/m (No. 12)
One atom of each set of equivalent atoms:
La (0.0695, 0.0000, 0.2128) [4 per cell]
Nd (0.2137, 0.0000, 0.6441) [4 per cell]
Ho (0.0000, 0.5000, 0.5000) [2 per cell]
Ho (0.1444, 0.5000, 0.9290) [4 per cell]

As for the energy of formation: 0.029 eV per atom.

Record 8
A relaxed Sr2RuBr crystal. Source: Alexandria, functional GGA-PBE.

a = 7.4921 Å, b = 7.4921 Å, c = 7.4921 Å
α = 90.00°, β = 90.00°, γ = 90.00°
Space group F-43m (No. 216)
One atom of each set of equivalent atoms:
Sr (0.0000, 0.0000, 0.0000) [4 per cell]
Sr (0.2500, 0.2500, 0.2500) [4 per cell]
Ru (0.2500, 0.2500, 0.7500) [4 per cell]
Br (0.0000, 0.0000, 0.5000) [4 per cell]

The raw formation energy comes out at 0.362 eV per atom.

Record 9
A relaxed TiNbCu crystal. Source: Alexandria, functional GGA-PBE.

a = 2.6718 Å, b = 4.4411 Å, c = 8.0097 Å
α = 90.00°, β = 92.29°, γ = 90.00°
Space group Pm (No. 6)
One atom of each set of equivalent atoms:
Ti (0.0000, 0.0000, 0.0000) [1 per cell]
Ti (0.3470, 0.0000, 0.3239) [1 per cell]
Nb (0.3149, 0.5000, 0.8320) [1 per cell]
Nb (0.6331, 0.0000, 0.6573) [1 per cell]
Cu (0.7052, 0.5000, 0.1663) [1 per cell]
Cu (0.9790, 0.5000, 0.4829) [1 per cell]

As for the energy of formation: 0.086 eV per atom.

Record 10
A relaxed LiB2H crystal. Source: Alexandria, functional GGA-PBE.

a = 10.2832 Å, b = 3.1989 Å, c = 4.6035 Å
α = 90.00°, β = 109.32°, γ = 90.00°
Space group Cm (No. 8)
One atom of each set of equivalent atoms:
Li (0.0000, 0.0000, 0.0000) [2 per cell]
Li (0.1418, 0.5000, 0.5496) [2 per cell]
B (0.2564, 0.0000, 0.3363) [2 per cell]
B (0.2706, 0.5000, 0.1814) [2 per cell]
B (0.4200, 0.2499, 0.4482) [4 per cell]
H (0.2124, 0.0000, 0.5536) [2 per cell]
H (0.2756, 0.5000, 0.9201) [2 per cell]

Record 11
A relaxed BeBiHPb crystal. Source: Alexandria, functional GGA-PBE.

a = 3.2420 Å, b = 4.4111 Å, c = 6.0320 Å
α = 111.08°, β = 90.96°, γ = 90.34°
Space group P1 (No. 1)
One atom of each set of equivalent atoms:
Be (0.0000, 0.0000, 0.0000) [1 per cell]
Bi (0.9296, 0.3730, 0.7425) [1 per cell]
H (0.4912, 0.0369, 0.0784) [1 per cell]
Pb (0.2419, 0.6607, 0.3264) [1 per cell]

Record 12
A relaxed CsGeIBr2 crystal. Source: Alexandria, functional GGA-PBE.

a = 5.6310 Å, b = 5.6310 Å, c = 5.9773 Å
α = 90.00°, β = 90.00°, γ = 90.00°
Space group P4/mmm (No. 123)
One atom of each set of equivalent atoms:
Cs (0.0000, 0.0000, 0.0000) [1 per cell]
Ge (0.5000, 0.5000, 0.5000) [1 per cell]
I (0.5000, 0.5000, 0.0000) [1 per cell]
Br (0.0000, 0.5000, 0.5000) [2 per cell]

The raw formation energy comes out at -0.995 eV per atom.

Record 13
A relaxed LaHfN2F crystal. Source: Alexandria, functional GGA-PBE.

a = 4.6282 Å, b = 4.6282 Å, c = 4.3219 Å
α = 90.00°, β = 90.00°, γ = 90.00°
Space group P4/mmm (No. 123)
One atom of each set of equivalent atoms:
La (0.0000, 0.0000, 0.0000) [1 per cell]
Hf (0.5000, 0.5000, 0.5000) [1 per cell]
N (0.0000, 0.5000, 0.0000) [2 per cell]
F (0.0000, 0.0000, 0.5000) [1 per cell]

The raw formation energy comes out at -0.045 eV per atom.

Record 14
A relaxed Tb4TePb2 crystal. Source: Alexandria, functional GGA-PBE.

a = 9.3280 Å, b = 9.3280 Å, c = 9.3910 Å
α = 90.00°, β = 90.00°, γ = 90.00°
Space group I-42d (No. 122)
One atom of each set of equivalent atoms:
Tb (0.0736, 0.6813, 0.4479) [16 per cell]
Te (0.0000, 0.0000, 0.5000) [4 per cell]
Pb (0.1251, 0.7500, 0.1250) [8 per cell]

The raw formation energy comes out at -0.731 eV per atom.

Record 15
A relaxed Ba3CdI2 crystal. Source: Alexandria, functional GGA-PBE.

a = 8.6050 Å, b = 14.8132 Å, c = 9.1172 Å
α = 90.00°, β = 108.08°, γ = 90.00°
Space group C2/m (No. 12)
One atom of each set of equivalent atoms:
Ba (0.2304, 0.0000, 0.2295) [4 per cell]
Ba (0.2470, 0.1722, 0.7625) [8 per cell]
Cd (0.0000, 0.1697, 0.0000) [4 per cell]
I (0.0000, 0.0000, 0.5000) [2 per cell]
I (0.0000, 0.3423, 0.5000) [4 per cell]
I (0.0000, 0.5000, 0.0000) [2 per cell]

The raw formation energy comes out at -0.962 eV per atom.

Record 16
A relaxed TmSi3Ir crystal. Source: Alexandria, functional GGA-PBE.

a = 5.5441 Å, b = 5.5162 Å, c = 5.8210 Å
α = 90.00°, β = 102.76°, γ = 90.00°
Space group P2_1/m (No. 11)
One atom of each set of equivalent atoms:
Tm (0.1021, 0.2500, 0.3368) [2 per cell]
Si (0.0282, 0.2500, 0.8369) [2 per cell]
Si (0.4019, 0.0206, 0.7965) [4 per cell]
Ir (0.3604, 0.7500, 0.4603) [2 per cell]

The raw formation energy comes out at -0.620 eV per atom.

Record 17
A relaxed Pm2CdSi4Pd3 crystal. Source: Alexandria, functional GGA-PBE.

a = 4.2510 Å, b = 4.2510 Å, c = 10.2662 Å
α = 90.00°, β = 90.00°, γ = 90.00°
Space group P-4m2 (No. 115)
One atom of each set of equivalent atoms:
Pm (0.0000, 0.5000, 0.2398) [2 per cell]
Cd (0.0000, 0.0000, 0.5000) [1 per cell]
Si (0.0000, 0.0000, 0.0000) [1 per cell]
Si (0.0000, 0.5000, 0.6498) [2 per cell]
Si (0.5000, 0.5000, 0.0000) [1 per cell]
Pd (0.0000, 0.5000, 0.8841) [2 per cell]
Pd (0.5000, 0.5000, 0.5000) [1 per cell]

The raw formation energy comes out at -0.754 eV per atom.

Number 1: calculated total energy -118.58 eV/f.u., calculated density 9.62 Mg/m³. Number 2: calculated total energy -18.55 eV/f.u., calculated density 7.57 Mg/m³. Number 3: calculated total energy -54.65 eV/f.u., calculated density 7.63 Mg/m³. Number 4: calculated total energy -20.08 eV/f.u., calculated density 5.11 Mg/m³. Number 5: calculated total energy -37.31 eV/f.u., calculated density 17.25 Mg/m³. Number 6: calculated total energy -19.49 eV/f.u., calculated density 6.42 Mg/m³. Number 7: calculated total energy -32.92 eV/f.u., calculated density 7.41 Mg/m³. Number 8: calculated total energy -12.86 eV/f.u., calculated density 5.63 Mg/m³. Number 9: calculated total energy -21.80 eV/f.u., calculated density 7.15 Mg/m³. Number 10: calculated total energy -19.24 eV/f.u., calculated density 1.37 Mg/m³. Number 11: calculated total energy -13.31 eV/f.u., calculated density 8.79 Mg/m³. Number 12: calculated total energy -15.34 eV/f.u., calculated density 4.31 Mg/m³. Number 13: calculated total energy -33.63 eV/f.u., calculated density 6.54 Mg/m³. Number 14: calculated total energy -34.19 eV/f.u., calculated density 9.57 Mg/m³. Number 15: calculated total energy -15.56 eV/f.u., calculated density 4.68 Mg/m³. Number 16: calculated total energy -32.70 eV/f.u., calculated density 8.52 Mg/m³. Number 17: calculated total energy -55.23 eV/f.u., calculated density 7.46 Mg/m³.